Entry 1:
# SbPb2W GGA-PBE optimized geometry
# Raw formation energy ... 369 kJ/mol of formula units
# Symmetry ... F-43m (216)
# M_tot ... 1.9 μB per formula unit
# Electronic total energy ... -0.3798 Ry/atom
data_SbPb2W
_cell_length_a 5.1825
_cell_length_b 5.1825
_cell_length_c 5.1825
_cell_angle_alpha 60.00
_cell_angle_beta 60.00
_cell_angle_gamma 60.00
_space_group_name_H-M_alt 'P 1'
_space_group_IT_number 1
_space_group_name_Hall 'P 1'
loop_
_atom_site_label
_atom_site_type_symbol
_atom_site_fract_x
_atom_site_fract_y
_atom_site_fract_z
Sb1 Sb 0.0000 0.0000 0.0000
Pb1 Pb 0.5000 0.5000 0.5000
Pb2 Pb 0.7500 0.7500 0.7500
W1 W 0.2500 0.2500 0.2500

Entry 2:
# SbPb2W GGA-PBE optimized geometry
# Raw formation energy ... 345 kJ/mol of formula units
# Symmetry ... P2/m (10)
# M_tot ... 0.0 μB per formula unit
# Electronic total energy ... -0.3843 Ry/atom
data_SbPb2W
_cell_length_a 3.1453
_cell_length_b 5.5302
_cell_length_c 5.7816
_cell_angle_alpha 90.00
_cell_angle_beta 93.65
_cell_angle_gamma 90.00
_space_group_name_H-M_alt 'P 1'
_space_group_IT_number 1
_space_group_name_Hall 'P 1'
loop_
_atom_site_label
_atom_site_type_symbol
_atom_site_fract_x
_atom_site_fract_y
_atom_site_fract_z
Sb1 Sb 0.0000 0.0000 0.0000
Pb1 Pb 0.2821 0.5000 0.7392
Pb2 Pb 0.7179 0.5000 0.2608
W1 W 0.0000 0.0000 0.5000

Entry 3:
# Sb2Pb2W GGA-PBE optimized geometry
# Raw formation energy ... 506 kJ/mol of formula units
# Symmetry ... I4/mmm (139)
# M_tot ... 2.2 μB per formula unit
# Electronic total energy ... -0.3436 Ry/atom
# Excess energy over the best structure of this formula in the dataset ... 0.520 eV per atom
data_Sb2Pb2W
_cell_length_a 9.7725
_cell_length_b 9.7725
_cell_length_c 9.7725
_cell_angle_alpha 156.55
_cell_angle_beta 156.55
_cell_angle_gamma 33.41
_space_group_name_H-M_alt 'P 1'
_space_group_IT_number 1
_space_group_name_Hall 'P 1'
loop_
_atom_site_label
_atom_site_type_symbol
_atom_site_fract_x
_atom_site_fract_y
_atom_site_fract_z
Sb1 Sb 0.2500 0.7500 0.5000
Sb2 Sb 0.7500 0.2500 0.5000
Pb1 Pb 0.0835 0.0835 0.0000
Pb2 Pb 0.9165 0.9165 0.0000
W1 W 0.5000 0.5000 0.0000

Entry 4:
# SbPb2W GGA-PBE optimized geometry
# Raw formation energy ... 281 kJ/mol of formula units
# Symmetry ... P4/mmm (123)
# M_tot ... 0.0 μB per formula unit
# Electronic total energy ... -0.3965 Ry/atom
data_SbPb2W
_cell_length_a 3.0246
_cell_length_b 3.0246
_cell_length_c 12.1052
_cell_angle_alpha 90.00
_cell_angle_beta 90.00
_cell_angle_gamma 90.00
_space_group_name_H-M_alt 'P 1'
_space_group_IT_number 1
_space_group_name_Hall 'P 1'
loop_
_atom_site_label
_atom_site_type_symbol
_atom_site_fract_x
_atom_site_fract_y
_atom_site_fract_z
Sb1 Sb 0.0000 0.0000 0.0000
Pb1 Pb 0.5000 0.5000 0.3063
Pb2 Pb 0.5000 0.5000 0.6937
W1 W 0.0000 0.0000 0.5000

Entry 5:
# SbPb3W GGA-PBE optimized geometry
# Raw formation energy ... 970 kJ/mol of formula units
# Symmetry ... Pm-3m (221)
# M_tot ... 0.0 μB per formula unit
# Electronic total energy ... -0.2667 Ry/atom
# Excess energy over the best structure of this formula in the dataset ... 1.230 eV per atom
data_SbPb3W
_cell_length_a 5.6864
_cell_length_b 5.6864
_cell_length_c 5.6864
_cell_angle_alpha 90.00
_cell_angle_beta 90.00
_cell_angle_gamma 90.00
_space_group_name_H-M_alt 'P 1'
_space_group_IT_number 1
_space_group_name_Hall 'P 1'
loop_
_atom_site_label
_atom_site_type_symbol
_atom_site_fract_x
_atom_site_fract_y
_atom_site_fract_z
Sb1 Sb 0.0000 0.0000 0.0000
Pb1 Pb 0.0000 0.0000 0.5000
Pb2 Pb 0.0000 0.5000 0.0000
Pb3 Pb 0.5000 0.0000 0.0000
W1 W 0.5000 0.5000 0.5000

Entry 6:
# SbPbW GGA-PBE optimized geometry
# Raw formation energy ... 183 kJ/mol of formula units
# Symmetry ... I4mm (107)
# M_tot ... 0.0 μB per formula unit
# Electronic total energy ... -0.4627 Ry/atom
# Excess energy over the best structure of this formula in the dataset ... 0.049 eV per atom
data_SbPbW
_cell_length_a 7.1276
_cell_length_b 7.1276
_cell_length_c 7.1276
_cell_angle_alpha 153.26
_cell_angle_beta 153.26
_cell_angle_gamma 38.18
_space_group_name_H-M_alt 'P 1'
_space_group_IT_number 1
_space_group_name_Hall 'P 1'
loop_
_atom_site_label
_atom_site_type_symbol
_atom_site_fract_x
_atom_site_fract_y
_atom_site_fract_z
Sb1 Sb 0.0000 0.0000 0.0000
Pb1 Pb 0.7297 0.7297 0.0000
W1 W 0.3842 0.3842 0.0000

Entry 7:
# SbPbW GGA-PBE optimized geometry
# Raw formation energy ... 190 kJ/mol of formula units
# Symmetry ... Fmm2 (42)
# M_tot ... 0.0 μB per formula unit
# Electronic total energy ... -0.4610 Ry/atom
# Excess energy over the best structure of this formula in the dataset ... 0.072 eV per atom
data_SbPbW
_cell_length_a 8.5315
_cell_length_b 8.3925
_cell_length_c 3.1216
_cell_angle_alpha 81.89
_cell_angle_beta 76.87
_cell_angle_gamma 21.24
_space_group_name_H-M_alt 'P 1'
_space_group_IT_number 1
_space_group_name_Hall 'P 1'
loop_
_atom_site_label
_atom_site_type_symbol
_atom_site_fract_x
_atom_site_fract_y
_atom_site_fract_z
Sb1 Sb 0.0000 0.0000 0.0000
Pb1 Pb 0.7372 0.7372 0.2628
W1 W 0.3785 0.3785 0.6215

Entry 8:
# Sb2Pb2W GGA-PBE optimized geometry
# Raw formation energy ... 255 kJ/mol of formula units
# Symmetry ... P4/mbm (127)
# M_tot ... 1.3 μB per formula unit
# Electronic total energy ... -0.3818 Ry/atom
# Excess energy over the best structure of this formula in the dataset ... 0.000 eV per atom
data_Sb2Pb2W
_cell_length_a 7.1260
_cell_length_b 7.1260
_cell_length_c 5.4299
_cell_angle_alpha 90.00
_cell_angle_beta 90.00
_cell_angle_gamma 90.00
_space_group_name_H-M_alt 'P 1'
_space_group_IT_number 1
_space_group_name_Hall 'P 1'
loop_
_atom_site_label
_atom_site_type_symbol
_atom_site_fract_x
_atom_site_fract_y
_atom_site_fract_z
Sb1 Sb 0.1509 0.3491 0.0000
Sb2 Sb 0.3491 0.8491 0.0000
Sb3 Sb 0.6509 0.1509 0.0000
Sb4 Sb 0.8491 0.6509 0.0000
Pb1 Pb 0.1746 0.6746 0.5000
Pb2 Pb 0.3254 0.1746 0.5000
Pb3 Pb 0.6746 0.8254 0.5000
Pb4 Pb 0.8254 0.3254 0.5000
W1 W 0.0000 0.0000 0.0000
W2 W 0.5000 0.5000 0.0000

Entry 9:
# SbPb2W GGA-PBE optimized geometry
# Raw formation energy ... 278 kJ/mol of formula units
# Symmetry ... Cmmm (65)
# M_tot ... 0.0 μB per formula unit
# Electronic total energy ... -0.3972 Ry/atom
data_SbPb2W
_cell_length_a 3.0372
_cell_length_b 3.0372
_cell_length_c 12.1356
_cell_angle_alpha 90.00
_cell_angle_beta 90.00
_cell_angle_gamma 102.19
_space_group_name_H-M_alt 'P 1'
_space_group_IT_number 1
_space_group_name_Hall 'P 1'
loop_
_atom_site_label
_atom_site_type_symbol
_atom_site_fract_x
_atom_site_fract_y
_atom_site_fract_z
Sb1 Sb 0.0000 0.0000 0.0000
Pb1 Pb 0.5000 0.5000 0.3041
Pb2 Pb 0.5000 0.5000 0.6958
W1 W 0.0000 0.0000 0.5000

Entry 10:
# SbPb2W GGA-PBE optimized geometry
# Raw formation energy ... 373 kJ/mol of formula units
# Symmetry ... Cmmm (65)
# M_tot ... 0.0 μB per formula unit
# Electronic total energy ... -0.3789 Ry/atom
data_SbPb2W
_cell_length_a 5.7515
_cell_length_b 5.7515
_cell_length_c 3.1395
_cell_angle_alpha 90.00
_cell_angle_beta 90.00
_cell_angle_gamma 109.36
_space_group_name_H-M_alt 'P 1'
_space_group_IT_number 1
_space_group_name_Hall 'P 1'
loop_
_atom_site_label
_atom_site_type_symbol
_atom_site_fract_x
_atom_site_fract_y
_atom_site_fract_z
Sb1 Sb 0.0000 0.0000 0.0000
Pb1 Pb 0.0000 0.5000 0.5000
Pb2 Pb 0.5000 0.0000 0.5000
W1 W 0.5000 0.5000 0.0000

Entry 11:
# SbPb2W GGA-PBE optimized geometry
# Raw formation energy ... 324 kJ/mol of formula units
# Symmetry ... P4/mmm (123)
# M_tot ... 0.0 μB per formula unit
# Electronic total energy ... -0.3883 Ry/atom
data_SbPb2W
_cell_length_a 3.4626
_cell_length_b 3.4626
_cell_length_c 8.1883
_cell_angle_alpha 90.00
_cell_angle_beta 90.00
_cell_angle_gamma 90.00
_space_group_name_H-M_alt 'P 1'
_space_group_IT_number 1
_space_group_name_Hall 'P 1'
loop_
_atom_site_label
_atom_site_type_symbol
_atom_site_fract_x
_atom_site_fract_y
_atom_site_fract_z
Sb1 Sb 0.0000 0.0000 0.0000
Pb1 Pb 0.5000 0.5000 0.2913
Pb2 Pb 0.5000 0.5000 0.7087
W1 W 0.0000 0.0000 0.5000

Entry 12:
# Sb2Pb2W GGA-PBE optimized geometry
# Raw formation energy ... 475 kJ/mol of formula units
# Symmetry ... P4/mbm (127)
# M_tot ... 1.7 μB per formula unit
# Electronic total energy ... -0.3483 Ry/atom
# Excess energy over the best structure of this formula in the dataset ... 0.456 eV per atom
data_Sb2Pb2W
_cell_length_a 7.4810
_cell_length_b 7.4810
_cell_length_c 4.9147
_cell_angle_alpha 90.00
_cell_angle_beta 90.00
_cell_angle_gamma 90.00
_space_group_name_H-M_alt 'P 1'
_space_group_IT_number 1
_space_group_name_Hall 'P 1'
loop_
_atom_site_label
_atom_site_type_symbol
_atom_site_fract_x
_atom_site_fract_y
_atom_site_fract_z
Sb1 Sb 0.1596 0.3404 0.0000
Sb2 Sb 0.3404 0.8404 0.0000
Sb3 Sb 0.6596 0.1596 0.0000
Sb4 Sb 0.8404 0.6596 0.0000
Pb1 Pb 0.1538 0.6538 0.5000
Pb2 Pb 0.3462 0.1538 0.5000
Pb3 Pb 0.6538 0.8462 0.5000
Pb4 Pb 0.8462 0.3462 0.5000
W1 W 0.0000 0.0000 0.5000
W2 W 0.5000 0.5000 0.5000

Entry 13:
# SbPb2W GGA-PBE optimized geometry
# Raw formation energy ... 376 kJ/mol of formula units
# Symmetry ... I4/mmm (139)
# M_tot ... 2.2 μB per formula unit
# Electronic total energy ... -0.3783 Ry/atom
data_SbPb2W
_cell_length_a 5.9666
_cell_length_b 5.9666
_cell_length_c 5.9666
_cell_angle_alpha 136.10
_cell_angle_beta 136.10
_cell_angle_gamma 63.83
_space_group_name_H-M_alt 'P 1'
_space_group_IT_number 1
_space_group_name_Hall 'P 1'
loop_
_atom_site_label
_atom_site_type_symbol
_atom_site_fract_x
_atom_site_fract_y
_atom_site_fract_z
Sb1 Sb 0.0000 0.0000 0.0000
Pb1 Pb 0.2500 0.7500 0.5000
Pb2 Pb 0.7500 0.2500 0.5000
W1 W 0.5000 0.5000 0.0000

Entry 14:
# SbPb2W GGA-PBE optimized geometry
# Raw formation energy ... 184 kJ/mol of formula units
# Symmetry ... Pm (6)
# M_tot ... 0.0 μB per formula unit
# Electronic total energy ... -0.4151 Ry/atom
data_SbPb2W
_cell_length_a 3.4351
_cell_length_b 3.4337
_cell_length_c 8.5153
_cell_angle_alpha 90.00
_cell_angle_beta 90.05
_cell_angle_gamma 90.00
_space_group_name_H-M_alt 'P 1'
_space_group_IT_number 1
_space_group_name_Hall 'P 1'
loop_
_atom_site_label
_atom_site_type_symbol
_atom_site_fract_x
_atom_site_fract_y
_atom_site_fract_z
Sb1 Sb 0.0000 0.0000 0.0000
Pb1 Pb 0.5039 0.5000 0.2801
Pb2 Pb 0.9988 0.0000 0.6047
W1 W 0.4994 0.5000 0.8395